# 1
First-principles (PBE-GGA) data for a geometry-optimized Mg4CuSi structure, as listed in Alexandria via LeMat-Bulk.

Unit cell a=5.566 b=5.566 c=5.566 alpha=60.00 beta=60.00 gamma=60.00
Element x y z (fractional)
Mg  0.125  0.125  0.125
Mg  0.125  0.125  0.625
Mg  0.125  0.625  0.125
Mg  0.625  0.125  0.125
Cu  0.500  0.500  0.500
Si  0.750  0.750  0.750

Properties
density = 2.57 g/cm³
size of the total moment = 0.0000 μB/atom
N(E_F) = 0.29 states/eV per atom
raw formation energy = 0.3993 eV/atom
crystal system = cubic

# 2
First-principles (PBE-GGA) data for a geometry-optimized TlTc2Sn2 structure, as listed in Alexandria via LeMat-Bulk.

Unit cell a=6.559 b=6.559 c=6.559 alpha=141.45 beta=141.45 gamma=55.66
Element x y z (fractional)
Tl  0.000  0.000  0.000
Tc  0.398  0.398  0.000
Tc  0.602  0.602  0.000
Sn  0.250  0.750  0.500
Sn  0.750  0.250  0.500

Properties
E above lowest polymorph = 257 meV/atom
density = 9.74 g/cm³
size of the total moment = 0.0000 μB/atom
N(E_F) = 1.16 states/eV per atom
ΔH_f (0 K) = 2.506 eV/f.u.
crystal system = tetragonal

# 3
First-principles (PBE-GGA) data for a geometry-optimized K2NpAlS4 structure, as listed in Alexandria via LeMat-Bulk.

Unit cell a=8.170 b=8.170 c=8.170 alpha=121.58 beta=118.51 gamma=89.95
Element x y z (fractional)
K  0.000  0.000  0.000
K  0.500  0.000  0.000
K  0.500  0.000  0.500
K  0.500  0.500  0.500
Np  0.000  0.500  0.500
Np  0.500  0.500  0.000
Al  0.000  0.000  0.500
Al  0.000  0.500  0.000
S  0.188  0.740  0.449
S  0.209  0.260  0.949
S  0.220  0.243  0.523
S  0.220  0.697  0.977
S  0.780  0.303  0.023
S  0.780  0.757  0.477
S  0.791  0.740  0.051
S  0.812  0.260  0.551

Properties
density = 4.06 g/cm³
size of the total moment = 0.4961 μB/atom
N(E_F) = 0.92 states/eV per atom
raw formation energy = -1.1370 eV/atom
crystal system = orthorhombic

# 4
First-principles (PBE-GGA) data for a geometry-optimized U4CuP5 structure, as listed in Alexandria via LeMat-Bulk.

Unit cell a=14.854 b=14.854 c=14.854 alpha=15.32 beta=15.32 gamma=15.32
Element x y z (fractional)
U  0.108  0.108  0.108
U  0.297  0.297  0.297
U  0.703  0.703  0.703
U  0.892  0.892  0.892
Cu  0.500  0.500  0.500
P  0.000  0.000  0.000
P  0.193  0.193  0.193
P  0.406  0.406  0.406
P  0.594  0.594  0.594
P  0.807  0.807  0.807

Properties
density = 9.75 g/cm³
size of the total moment = 0.7355 μB/atom
N(E_F) = 2.02 states/eV per atom
ΔH_f (0 K) = -7.255 eV/f.u.
crystal system = trigonal

# 5
First-principles (PBE-GGA) data for a geometry-optimized CrTe2Ru structure, as listed in Alexandria via LeMat-Bulk.

Unit cell a=10.031 b=10.031 c=10.031 alpha=19.11 beta=19.11 gamma=19.11
Element x y z (fractional)
Cr  0.000  0.000  0.000
Te  0.269  0.269  0.269
Te  0.462  0.462  0.462
Ru  0.736  0.736  0.736

Properties
E above lowest polymorph = 355 meV/atom
density = 7.17 g/cm³
size of the total moment = 0.7417 μB/atom
N(E_F) = 0.86 states/eV per atom
raw formation energy = 0.3028 eV/atom
crystal system = trigonal

# 6
First-principles (PBE-GGA) data for a geometry-optimized VReNiS2 structure, as listed in Alexandria via LeMat-Bulk.

Unit cell a=4.528 b=4.528 c=4.590 alpha=90.00 beta=90.00 gamma=90.00
Element x y z (fractional)
V  0.000  0.000  0.000
Re  0.500  0.500  0.500
Ni  0.500  0.500  0.000
S  0.000  0.500  0.500
S  0.500  0.000  0.500

Properties
E above lowest polymorph = 0 meV/atom
density = 6.35 g/cm³
size of the total moment = 0.0224 μB/atom
N(E_F) = 2.22 states/eV per atom
raw formation energy = 0.9871 eV/atom
crystal system = tetragonal

# 7
First-principles (PBE-GGA) data for a geometry-optimized HfInAg structure, as listed in Alexandria via LeMat-Bulk.

Unit cell a=5.698 b=5.698 c=7.444 alpha=105.91 beta=105.91 gamma=32.68
Element x y z (fractional)
Hf  0.000  0.000  0.000
Hf  0.707  0.707  0.916
In  0.037  0.037  0.589
In  0.356  0.356  0.254
Ag  0.328  0.328  0.663
Ag  0.650  0.650  0.338

Properties
density = 10.65 g/cm³
size of the total moment = 0.0000 μB/atom
N(E_F) = 0.52 states/eV per atom
ΔH_f (0 K) = -0.095 eV/f.u.
crystal system = monoclinic

# 8
First-principles (PBE-GGA) data for a geometry-optimized Tb3Pm4Y5 structure, as listed in Alexandria via LeMat-Bulk.

Unit cell a=8.633 b=8.633 c=9.376 alpha=114.74 beta=114.74 gamma=40.30
Element x y z (fractional)
Tb  0.000  0.000  0.000
Tb  0.289  0.289  0.766
Tb  0.711  0.711  0.234
Pm  0.285  0.285  0.118
Pm  0.416  0.416  0.554
Pm  0.584  0.584  0.446
Pm  0.715  0.715  0.882
Y  0.072  0.072  0.703
Y  0.171  0.171  0.385
Y  0.500  0.500  0.000
Y  0.829  0.829  0.615
Y  0.928  0.928  0.297

Properties
E above lowest polymorph = 207 meV/atom
density = 6.16 g/cm³
size of the total moment = 0.0429 μB/atom
N(E_F) = 1.65 states/eV per atom
ΔH_f (0 K) = 2.669 eV/f.u.
crystal system = monoclinic